[1]
12
Lattice="5.244 0.000 0.000 0.000 9.492 0.000 -1.973 0.000 4.905" Properties=species:S:1:pos:R:3 comment="AgP5 (PBE-GGA, relaxed)" de_polymorph_ev_per_atom=0.075 mass_density_kg_m3=3574 pbc="T T T"
Ag 0.406 2.373 1.415
Ag 2.865 7.119 3.489
P 0.772 4.892 1.832
P 0.772 9.347 1.832
P -0.030 2.373 4.110
P 1.887 5.582 0.049
P 1.887 8.657 0.049
P 1.384 0.835 4.855
P 1.384 3.911 4.855
P 3.301 7.119 0.795
P 2.499 0.146 3.072
P 2.499 4.600 3.072

***

[2]
12
Lattice="6.984 0.000 0.000 3.102 6.954 0.000 3.070 1.821 8.556" Properties=species:S:1:pos:R:3 comment="Rb2OsSe3 (PBE-GGA, relaxed)" mass_density_kg_m3=4779 pbc="T T T"
Rb 1.679 1.557 1.101
Rb 5.057 4.358 2.694
Rb 8.100 4.417 5.862
Rb 11.478 7.218 7.455
Os 4.818 1.673 5.933
Os 8.338 7.102 2.623
Se 4.607 4.005 6.176
Se 6.613 7.593 4.219
Se 7.991 7.294 7.866
Se 5.165 1.481 0.690
Se 6.544 1.182 4.337
Se 8.550 4.770 2.380

***

[3]
9
Lattice="3.569 0.000 0.000 0.000 3.569 0.000 0.000 0.000 7.393" Properties=species:S:1:pos:R:3 comment="Al2Pd2O5 (PBE-GGA, relaxed)" de_polymorph_ev_per_atom=0.000 mass_density_kg_m3=6115 pbc="T T T"
Al 0.000 0.000 1.790
Al 0.000 0.000 5.603
Pd 1.784 1.784 0.000
Pd 1.784 1.784 3.697
O 0.000 0.000 0.000
O 0.000 1.784 2.329
O 0.000 1.784 5.064
O 1.784 0.000 2.329
O 1.784 0.000 5.064

***

[4]
16
Lattice="7.816 0.000 0.000 0.000 7.815 0.000 -1.542 0.000 6.644" Properties=species:S:1:pos:R:3 comment="KPrSeO (PBE-GGA, relaxed)" de_polymorph_ev_per_atom=0.018 mass_density_kg_m3=4501 pbc="T T T"
K 0.717 1.844 0.038
K -0.054 2.063 3.360
K 6.328 5.752 3.284
K 5.557 5.970 6.607
Pr 3.211 4.893 1.807
Pr 2.440 6.829 5.129
Pr 3.833 0.986 1.515
Pr 3.062 2.922 4.837
Se 0.503 4.556 5.590
Se 1.274 7.165 2.268
Se 5.000 0.649 4.376
Se 5.771 3.258 1.054
O 1.793 1.185 5.877
O 2.564 2.722 2.555
O 3.710 5.092 4.089
O 4.481 6.629 0.767

***

[5]
9
Lattice="8.113 0.000 0.000 -4.056 7.026 0.000 0.000 0.000 3.319" Properties=species:S:1:pos:R:3 comment="ErInPt (PBE-GGA, relaxed)" mass_density_kg_m3=12566 pbc="T T T"
Er -1.210 2.095 0.000
Er 2.419 0.000 0.000
Er 2.847 4.931 0.000
In 0.000 0.000 1.659
In 0.000 4.684 0.000
In 4.056 2.342 0.000
Pt -2.585 4.478 1.659
Pt 1.471 2.548 1.659
Pt 5.171 0.000 1.659

***

[6]
8
Lattice="5.177 0.000 0.000 0.000 3.743 0.000 0.000 0.000 7.482" Properties=species:S:1:pos:R:3 comment="AsPd (PBE-GGA, relaxed)" mass_density_kg_m3=8308 pbc="T T T"
As 1.294 0.000 0.399
As 1.294 1.872 5.024
As 3.882 0.000 7.083
As 3.882 1.872 2.458
Pd 0.000 0.000 3.741
Pd 1.294 1.872 1.972
Pd 2.588 0.000 3.741
Pd 3.882 1.872 5.509

***

[7]
8
Lattice="4.070 0.000 0.000 -2.035 3.525 0.000 0.000 0.000 16.641" Properties=species:S:1:pos:R:3 comment="PrErH2I4 (PBE-GGA, relaxed)" mass_density_kg_m3=5688 pbc="T T T"
Pr 0.000 0.000 0.000
Er 0.000 0.000 8.320
H 0.000 2.350 8.320
H 2.035 1.175 0.000
I 0.000 2.350 2.209
I 0.000 2.350 14.432
I 2.035 1.175 6.254
I 2.035 1.175 10.387

***

[8]
11
Lattice="-1.906 7.736 4.749 1.906 -7.736 4.749 1.906 7.736 -4.749" Properties=species:S:1:pos:R:3 comment="Dy2Tm5Ni2Te2 (PBE-GGA, relaxed)" de_polymorph_ev_per_atom=0.010 mass_density_kg_m3=9142 pbc="T T T"
Dy 0.000 2.865 0.000
Dy 0.000 12.608 0.000
Tm 1.906 0.000 1.159
Tm 1.906 5.477 -1.425
Tm 0.000 2.259 3.324
Tm 0.000 5.675 1.929
Tm 0.000 9.798 1.929
Ni 1.906 3.680 1.853
Ni 0.000 4.057 6.602
Te 1.906 0.000 4.362
Te 0.000 0.000 8.118

***

[9]
16
Lattice="6.527 -2.844 0.000 6.527 2.844 0.000 -3.513 0.000 6.282" Properties=species:S:1:pos:R:3 comment="NbAsPbO5 (PBE-GGA, relaxed)" mass_density_kg_m3=6479 pbc="T T T"
Nb -0.711 0.000 1.857
Nb 10.252 0.000 4.425
As 1.348 0.000 4.969
As 8.192 0.000 1.313
Pb 3.303 0.000 1.894
Pb 6.238 0.000 4.387
O -1.741 0.000 5.848
O 2.401 1.397 4.424
O 4.770 1.590 3.141
O 7.140 1.397 1.858
O 5.007 0.000 0.401
O 4.534 0.000 5.881
O 2.401 -1.397 4.424
O 4.770 -1.590 3.141
O 7.140 -1.397 1.858
O 11.281 0.000 0.434

***

[10]
4
Lattice="0.000 3.128 3.128 3.128 0.000 3.128 3.128 3.128 0.000" Properties=species:S:1:pos:R:3 comment="ZrGaCoRe (PBE-GGA, relaxed)" de_polymorph_ev_per_atom=0.000 mass_density_kg_m3=11015 pbc="T T T"
Zr 0.000 0.000 0.000
Ga 3.128 3.128 3.128
Co 4.692 4.692 4.692
Re 1.564 1.564 1.564

***

[11]
28
Lattice="6.826 3.941 6.491 -6.826 3.941 6.491 0.000 -7.882 6.491" Properties=species:S:1:pos:R:3 comment="Cs3Er2Br9 (PBE-GGA, relaxed)" mass_density_kg_m3=4605 pbc="T T T"
Cs -4.502 0.084 8.114
Cs -2.323 -3.857 11.359
Cs 2.179 -3.941 8.114
Cs -2.179 3.941 11.359
Cs 2.323 3.857 8.114
Cs 4.502 -0.084 11.359
Er 0.000 0.000 2.938
Er 0.000 0.000 6.798
Er 0.000 0.000 12.675
Er 0.000 0.000 16.534
Br -1.256 -5.855 8.189
Br -5.699 -1.839 11.284
Br -2.140 0.000 4.868
Br -1.256 -2.027 8.038
Br 1.070 -1.853 4.868
Br -4.442 4.016 8.189
Br 1.070 1.853 4.868
Br -2.383 0.075 11.434
Br -1.127 2.101 8.038
Br 1.127 -2.101 11.434
Br 2.383 -0.075 8.038
Br -1.070 -1.853 14.604
Br 4.442 -4.016 11.284
Br -1.070 1.853 14.604
Br 1.256 2.027 11.434
Br 2.140 0.000 14.604
Br 5.699 1.839 8.189
Br 1.256 5.855 11.284

***

[12]
8
Lattice="2.133 -9.474 0.000 2.133 9.474 0.000 0.000 0.000 5.514" Properties=species:S:1:pos:R:3 comment="PrGdGe2 (PBE-GGA, relaxed)" de_polymorph_ev_per_atom=0.000 mass_density_kg_m3=6608 pbc="T T T"
Pr 2.133 7.979 4.135
Pr 2.133 -7.979 1.378
Gd 2.133 3.852 4.135
Gd 2.133 -3.852 1.378
Ge 2.133 3.590 1.378
Ge 2.133 0.834 4.135
Ge 2.133 -0.834 1.378
Ge 2.133 -3.590 4.135

***

no.,total energy (eV/cell)
1,-57.766
2,-53.451
3,-55.309
4,-92.110
5,-44.246
6,-40.829
7,-31.770
8,-56.345
9,-113.280
10,-31.285
11,-106.359
12,-42.007